Computed, not measured: a geometry-optimized CsPm4Se6 structure at the PBE level of DFT.

Computed properties:
Symmetry: I-42m (121)
Total DFT energy (no corrections) (eV per formula unit): -57.52
Spin magnetization (μB per cell): 0.00

Unit cell a=7.7426 b=7.7426 c=7.7426 alpha=96.16 beta=116.51 gamma=116.51
Fractional positions:
1 Se 0.3029 0.4690 0.4690
2 Se 0.0000 0.8339 0.5310
3 Se 0.6971 0.1661 0.1661
4 Se 0.0000 0.5310 0.8339
5 Se 0.5000 0.0000 0.5000
6 Se 0.5000 0.5000 0.0000
7 Pm 0.0000 0.2043 0.5872
8 Pm 0.6172 0.4128 0.4128
9 Pm 0.0000 0.5872 0.2043
10 Pm 0.3828 0.7957 0.7957
11 Cs 0.0000 0.0000 0.0000